14
Lattice="7.131 0.000 0.000 0.000 7.131 0.000 0.000 0.000 7.131" Properties=species:S:1:pos:R:3 comment="Al3Ag3Pb PBE optimized geometry" energy_ev_per_cell=-40.49 mass_density_g_cm3=5.60 m_tot_mub_per_fu=0.00 delta_e_f_kcal_per_mol_atoms=10.691 pbc="T T T"
Al 0.000 1.783 3.565
Al 0.000 5.348 3.565
Al 1.783 3.565 0.000
Al 3.565 0.000 1.783
Al 3.565 0.000 5.348
Al 5.348 3.565 0.000
Ag 0.000 3.565 1.783
Ag 0.000 3.565 5.348
Ag 1.783 0.000 3.565
Ag 3.565 1.783 0.000
Ag 3.565 5.348 0.000
Ag 5.348 0.000 3.565
Pb 0.000 0.000 0.000
Pb 3.565 3.565 3.565

=====

19
Lattice="5.057 2.919 5.006 -5.057 2.919 5.006 0.000 -5.839 5.006" Properties=species:S:1:pos:R:3 comment="La2Cd16Ag PBE optimized geometry" energy_ev_per_cell=-30.83 mass_density_g_cm3=8.18 m_tot_mub_per_fu=0.00 delta_e_f_kcal_per_mol_atoms=-4.232 pbc="T T T"
La 0.000 0.000 0.000
La 0.000 0.000 5.028
Cd 0.000 -2.821 2.802
Cd -2.443 1.411 2.802
Cd -2.460 -1.420 7.501
Cd 0.000 -3.037 7.222
Cd -2.630 1.519 7.222
Cd -1.497 -2.589 10.007
Cd -2.991 -0.002 10.007
Cd 2.443 1.411 2.802
Cd 2.460 -1.420 7.500
Cd 0.000 2.841 7.500
Cd 1.497 -2.589 10.007
Cd -1.494 2.591 10.007
Cd 0.000 0.000 11.520
Cd 2.630 1.519 7.222
Cd 2.991 -0.002 10.007
Cd 1.494 2.591 10.007
Ag 0.000 0.000 8.505